Record 1
Density functional theory data (GGA-PBE) for an optimized crystal structure of PmFeB3Os.

Computed properties:
Energy relative to the elements (kJ/mol of formula units): -177
Space-group type: Cmcm, No. 63

abc: 5.691 5.691 5.871
angles: 90.00 90.00 126.19
Element x y z (fractional)
Pm1 0.230 0.770 0.750
Pm2 0.770 0.230 0.250
Fe1 0.093 0.907 0.250
Fe2 0.907 0.093 0.750
B1 0.178 0.178 0.000
B2 0.178 0.178 0.500
B3 0.277 0.723 0.250
B4 0.723 0.277 0.750
B5 0.822 0.822 0.000
B6 0.822 0.822 0.500
Os1 0.471 0.529 0.250
Os2 0.529 0.471 0.750

=====

Record 2
Density functional theory data (GGA-PBE) for an optimized crystal structure of PrFeB2Os.

Computed properties:
Energy relative to the elements (kJ/mol of formula units): -174
Space-group type: I-4m2, No. 119

abc: 3.807 3.807 10.204
angles: 90.00 90.00 90.00
Element x y z (fractional)
Pr1 0.000 0.000 0.000
Pr2 0.500 0.500 0.500
Fe1 0.000 0.500 0.250
Fe2 0.500 0.000 0.750
B1 0.000 0.000 0.332
B2 0.000 0.000 0.668
B3 0.500 0.500 0.168
B4 0.500 0.500 0.832
Os1 0.000 0.500 0.750
Os2 0.500 0.000 0.250

=====

Record 3
Density functional theory data (GGA-PBE) for an optimized crystal structure of Ti2FeB6Os6Rh3.

Computed properties:
Energy relative to the elements (kJ/mol of formula units): -371
Space-group type: Amm2, No. 38

abc: 3.078 8.845 8.845
angles: 120.13 90.00 90.00
Element x y z (fractional)
Ti1 0.000 0.208 0.792
Ti2 0.000 0.792 0.208
Fe1 0.000 0.620 0.620
B1 0.000 0.541 0.874
B2 0.000 0.874 0.541
B3 0.500 0.207 0.996
B4 0.500 0.212 0.212
B5 0.500 0.434 0.434
B6 0.500 0.996 0.207
Os1 0.500 0.025 0.490
Os2 0.500 0.392 0.674
Os3 0.500 0.490 0.025
Os4 0.500 0.674 0.392
Os5 0.500 0.743 0.926
Os6 0.500 0.926 0.743
Rh1 0.000 0.033 0.033
Rh2 0.000 0.207 0.382
Rh3 0.000 0.382 0.207

=====

Record 4
Density functional theory data (GGA-PBE) for an optimized crystal structure of ScFe2BOs.

Computed properties:
Energy relative to the elements (kJ/mol of formula units): -98
Space-group type: P4/mmm, No. 123

abc: 3.963 3.963 4.135
angles: 90.00 90.00 90.00
Element x y z (fractional)
Sc1 0.000 0.000 0.000
Fe1 0.000 0.500 0.500
Fe2 0.500 0.000 0.500
B1 0.500 0.500 0.500
Os1 0.500 0.500 0.000

=====

Record 5
Density functional theory data (GGA-PBE) for an optimized crystal structure of Sc2Fe5B2Os.

Computed properties:
Energy relative to the elements (kJ/mol of formula units): -298
Space-group type: P4/mbm, No. 127

abc: 8.922 8.922 2.856
angles: 90.00 90.00 90.00
Element x y z (fractional)
Sc1 0.176 0.324 0.000
Sc2 0.324 0.824 0.000
Sc3 0.676 0.176 0.000
Sc4 0.824 0.676 0.000
Fe1 0.000 0.500 0.500
Fe2 0.069 0.779 0.500
Fe3 0.221 0.069 0.500
Fe4 0.279 0.569 0.500
Fe5 0.431 0.279 0.500
Fe6 0.500 0.000 0.500
Fe7 0.569 0.721 0.500
Fe8 0.721 0.431 0.500
Fe9 0.779 0.931 0.500
Fe10 0.931 0.221 0.500
B1 0.118 0.618 0.000
B2 0.382 0.118 0.000
B3 0.618 0.882 0.000
B4 0.882 0.382 0.000
Os1 0.000 0.000 0.000
Os2 0.500 0.500 0.000

=====

Record 6
Density functional theory data (GGA-PBE) for an optimized crystal structure of TaFeBOs2.

Computed properties:
Energy relative to the elements (kJ/mol of formula units): -85
Space-group type: P4/mmm, No. 123

abc: 4.087 4.087 3.883
angles: 90.00 90.00 90.00
Element x y z (fractional)
Ta1 0.000 0.000 0.000
Fe1 0.500 0.500 0.000
B1 0.500 0.500 0.500
Os1 0.000 0.500 0.500
Os2 0.500 0.000 0.500

=====

Record 7
Density functional theory data (GGA-PBE) for an optimized crystal structure of Th2Fe3B12Os.

Computed properties:
Energy relative to the elements (kJ/mol of formula units): 11
Space-group type: R-3m, No. 166

abc: 7.964 7.964 7.964
angles: 42.66 42.66 42.66
Element x y z (fractional)
Th1 0.132 0.132 0.132
Th2 0.868 0.868 0.868
Fe1 0.000 0.500 0.500
Fe2 0.500 0.000 0.500
Fe3 0.500 0.500 0.000
B1 0.134 0.580 0.580
B2 0.161 0.161 0.468
B3 0.161 0.468 0.161
B4 0.420 0.420 0.866
B5 0.420 0.866 0.420
B6 0.468 0.161 0.161
B7 0.532 0.839 0.839
B8 0.580 0.134 0.580
B9 0.580 0.580 0.134
B10 0.839 0.532 0.839
B11 0.839 0.839 0.532
B12 0.866 0.420 0.420
Os1 0.500 0.500 0.500

=====

Record 8
Density functional theory data (GGA-PBE) for an optimized crystal structure of ZrFeBOs2.

Computed properties:
Energy relative to the elements (kJ/mol of formula units): -132
Space-group type: P4/mmm, No. 123

abc: 4.150 4.150 3.952
angles: 90.00 90.00 90.00
Element x y z (fractional)
Zr1 0.000 0.000 0.000
Fe1 0.500 0.500 0.000
B1 0.500 0.500 0.500
Os1 0.000 0.500 0.500
Os2 0.500 0.000 0.500

=====

Calculated uncorrected energy in order - -7.7175; -7.9260; -8.7553; -8.4358; -8.2645; -10.0665; -7.3039; -9.5033 eV/atom